[1]
Compound: Ac3HRhPb
Source: Alexandria via LeMat-Bulk
Functional: PBE
Structure: relaxed

Computed properties:
Calculated total energy: -5.0179 eV/atom
D(E_F): 0.698 states/eV per atom

a b c (Å): 4.4094 9.2874 9.6330
angles (deg): 103.33 90.00 90.00
Fractional coordinates of all 12 atoms:
Ac: 0.2500 0.8129 0.4592
Ac: 0.7500 0.8724 0.1266
Ac: 0.7500 0.4399 0.1684
Ac: 0.7500 0.1871 0.5408
Ac: 0.2500 0.5601 0.8316
Ac: 0.2500 0.1276 0.8734
H: 0.2500 0.0796 0.5956
H: 0.7500 0.9204 0.4044
Rh: 0.2500 0.6592 0.1502
Rh: 0.7500 0.3408 0.8498
Pb: 0.7500 0.8286 0.7438
Pb: 0.2500 0.1714 0.2562

***

[2]
Compound: AcH6RuPb
Source: Alexandria via LeMat-Bulk
Functional: PBE
Structure: relaxed

Computed properties:
Calculated total energy: -4.3511 eV/atom
D(E_F): 0.404 states/eV per atom

a b c (Å): 5.1292 5.1251 4.6971
angles (deg): 89.98 89.91 60.02
Fractional coordinates of all 9 atoms:
Ac: 0.9995 0.0002 0.8320
H: 0.1635 0.1626 0.3299
H: 0.4767 0.0459 0.7729
H: 0.4766 0.4772 0.7730
H: 0.0451 0.4774 0.7717
H: 0.1634 0.6740 0.3299
H: 0.6751 0.1625 0.3307
Ru: 0.3337 0.3332 0.5358
Pb: 0.6661 0.6670 0.3240

***

[3]
Compound: AcH6Pd3
Source: Alexandria via LeMat-Bulk
Functional: PBE
Structure: relaxed

Computed properties:
Calculated total energy: -4.3019 eV/atom
D(E_F): 0.159 states/eV per atom

a b c (Å): 5.0204 5.0202 5.8506
angles (deg): 89.98 115.42 120.02
Fractional coordinates of all 10 atoms:
Ac: 0.7640 0.8820 0.6461
H: 0.3834 0.4455 0.8015
H: 0.1453 0.7195 0.2222
H: 0.7963 0.0773 0.2225
H: 0.3561 0.9379 0.8015
H: 0.8638 0.4181 0.8015
H: 0.5032 0.4256 0.2224
Pd: 0.6856 0.3428 0.0285
Pd: 0.3342 0.6671 0.0010
Pd: 0.1680 0.0841 0.2526

***

[4]
Compound: Ac3H12Pd5
Source: Alexandria via LeMat-Bulk
Functional: PBE
Structure: relaxed

Computed properties:
Calculated total energy: -4.2108 eV/atom
D(E_F): 0.390 states/eV per atom

a b c (Å): 10.8301 10.8301 10.8301
angles (deg): 109.47 109.47 109.47
Fractional coordinates of all 80 atoms:
H: 0.6758 0.0924 0.9978
H: 0.3220 0.4978 0.4054
H: 0.0022 0.4076 0.3242
H: 0.4978 0.1758 0.0924
H: 0.5835 0.6758 0.6780
H: 0.0022 0.5946 0.1780
H: 0.3220 0.8242 0.4165
H: 0.0946 0.9165 0.0924
H: 0.5946 0.0022 0.6780
H: 0.6758 0.5835 0.1780
H: 0.8242 0.5022 0.4076
H: 0.8220 0.9054 0.9978
H: 0.0924 0.6758 0.4978
H: 0.4076 0.4054 0.0835
H: 0.0835 0.9054 0.4076
H: 0.4165 0.0924 0.5946
H: 0.0835 0.1780 0.1758
H: 0.5022 0.6780 0.0946
H: 0.8220 0.9165 0.3242
H: 0.0924 0.4165 0.0946
H: 0.4076 0.0022 0.8242
H: 0.5946 0.5924 0.4165
H: 0.9054 0.8220 0.4978
H: 0.8242 0.3220 0.9165
H: 0.4054 0.4076 0.5835
H: 0.0946 0.1780 0.5022
H: 0.1758 0.6780 0.0835
H: 0.1780 0.0835 0.6758
H: 0.5924 0.9978 0.1758
H: 0.9076 0.5835 0.9054
H: 0.4978 0.3220 0.9054
H: 0.5835 0.9076 0.4054
H: 0.9165 0.8220 0.8242
H: 0.9165 0.0946 0.5924
H: 0.9076 0.3242 0.5022
H: 0.1780 0.0946 0.0022
H: 0.5924 0.5946 0.9165
H: 0.4054 0.9978 0.3220
H: 0.3242 0.4165 0.8220
H: 0.1758 0.4978 0.5924
H: 0.9054 0.0835 0.9076
H: 0.6780 0.1758 0.5835
H: 0.5022 0.8242 0.9076
H: 0.9978 0.4054 0.8220
H: 0.4165 0.3242 0.3220
H: 0.9978 0.5924 0.6758
H: 0.6780 0.5022 0.5946
H: 0.3242 0.9076 0.0022
Ac: 0.7500 0.3750 0.1250
Ac: 0.8750 0.7500 0.1250
Ac: 0.3750 0.7500 0.6250
Ac: 0.2500 0.1250 0.3750
Ac: 0.8750 0.1250 0.2500
Ac: 0.3750 0.6250 0.2500
Ac: 0.6250 0.3750 0.7500
Ac: 0.1250 0.8750 0.7500
Ac: 0.7500 0.8750 0.6250
Ac: 0.6250 0.2500 0.3750
Ac: 0.1250 0.2500 0.8750
Ac: 0.2500 0.6250 0.8750
Pd: 0.1250 0.3750 0.2500
Pd: 0.0000 0.5000 0.0000
Pd: 0.0000 0.0000 0.0000
Pd: 0.3750 0.2500 0.1250
Pd: 0.5000 0.0000 0.5000
Pd: 0.5000 0.5000 0.0000
Pd: 0.1250 0.7500 0.3750
Pd: 0.7500 0.1250 0.8750
Pd: 0.7500 0.6250 0.3750
Pd: 0.3750 0.1250 0.7500
Pd: 0.6250 0.8750 0.2500
Pd: 0.5000 0.5000 0.5000
Pd: 0.5000 0.0000 0.0000
Pd: 0.0000 0.0000 0.5000
Pd: 0.2500 0.3750 0.6250
Pd: 0.2500 0.8750 0.1250
Pd: 0.0000 0.5000 0.5000
Pd: 0.8750 0.2500 0.6250
Pd: 0.6250 0.7500 0.8750
Pd: 0.8750 0.6250 0.7500

***

[5]
Compound: AcH12Pd6
Source: Alexandria via LeMat-Bulk
Functional: PBE
Structure: relaxed

Computed properties:
Calculated total energy: -4.1246 eV/atom
D(E_F): 0.272 states/eV per atom

a b c (Å): 6.4981 6.4981 6.4981
angles (deg): 112.82 112.82 112.82
Fractional coordinates of all 19 atoms:
Ac: 0.0000 0.0000 0.0000
H: 0.3831 0.2224 0.5687
H: 0.2224 0.5687 0.3831
H: 0.5687 0.3831 0.2224
H: 0.6169 0.7776 0.4313
H: 0.7776 0.4313 0.6169
H: 0.4313 0.6169 0.7776
H: 0.1179 0.9515 0.6520
H: 0.3480 0.8821 0.0485
H: 0.0485 0.3480 0.8821
H: 0.8821 0.0485 0.3480
H: 0.6520 0.1179 0.9515
H: 0.9515 0.6520 0.1179
Pd: 0.2279 0.3005 0.7138
Pd: 0.6995 0.2862 0.7721
Pd: 0.2862 0.7721 0.6995
Pd: 0.7721 0.6995 0.2862
Pd: 0.3005 0.7138 0.2279
Pd: 0.7138 0.2279 0.3005

***

[6]
Compound: AcH7Pd4
Source: Alexandria via LeMat-Bulk
Functional: PBE
Structure: relaxed

Computed properties:
Calculated total energy: -4.3196 eV/atom
D(E_F): 0.170 states/eV per atom

a b c (Å): 4.5289 4.0082 13.7976
angles (deg): 90.00 90.00 90.00
Fractional coordinates of all 24 atoms:
Ac: 0.5376 0.7485 0.5000
Ac: 0.0376 0.2515 0.0000
H: 0.9804 0.7515 0.1204
H: 0.4804 0.2485 0.3796
H: 0.5562 0.2509 0.8770
H: 0.0562 0.7491 0.6230
H: 0.0562 0.7491 0.3770
H: 0.5562 0.2509 0.1230
H: 0.4683 0.7482 0.7626
H: 0.9683 0.2518 0.7374
H: 0.9683 0.2518 0.2626
H: 0.4683 0.7482 0.2374
H: 0.3667 0.7520 0.0000
H: 0.8667 0.2480 0.5000
H: 0.9804 0.7515 0.8796
H: 0.4804 0.2485 0.6204
Pd: 0.5652 0.7505 0.8937
Pd: 0.0552 0.7496 0.2449
Pd: 0.5552 0.2504 0.2551
Pd: 0.0652 0.2495 0.6063
Pd: 0.0652 0.2495 0.3937
Pd: 0.5652 0.7505 0.1063
Pd: 0.0552 0.7496 0.7551
Pd: 0.5552 0.2504 0.7449

***

[7]
Compound: AcH5Pd4
Source: Alexandria via LeMat-Bulk
Functional: PBE
Structure: relaxed

Computed properties:
Calculated total energy: -4.4791 eV/atom
D(E_F): 0.295 states/eV per atom

a b c (Å): 5.6617 5.5638 8.2420
angles (deg): 90.00 85.51 90.00
Fractional coordinates of all 20 atoms:
Ac: 0.1985 0.0000 0.0347
Ac: 0.8015 0.5000 0.4653
H: 0.8093 0.2288 0.1913
H: 0.7054 0.2648 0.7831
H: 0.7335 0.0000 0.5051
H: 0.8093 0.7712 0.1913
H: 0.7054 0.7352 0.7831
H: 0.1907 0.7288 0.3087
H: 0.2946 0.7648 0.7169
H: 0.2665 0.5000 0.9949
H: 0.2946 0.2352 0.7169
H: 0.1907 0.2712 0.3087
Pd: 0.7096 0.2508 0.0006
Pd: 0.6436 0.0000 0.3034
Pd: 0.5619 0.0000 0.7104
Pd: 0.7096 0.7492 0.0006
Pd: 0.2904 0.7508 0.4994
Pd: 0.3564 0.5000 0.1966
Pd: 0.4381 0.5000 0.7896
Pd: 0.2904 0.2492 0.4994

***

[8]
Compound: AcH7Pd2
Source: Alexandria via LeMat-Bulk
Functional: PBE
Structure: relaxed

Computed properties:
Calculated total energy: -4.0004 eV/atom
D(E_F): 0.197 states/eV per atom

a b c (Å): 3.8240 5.5888 5.5888
angles (deg): 126.90 90.00 90.00
Fractional coordinates of all 10 atoms:
Ac: 0.0000 0.0000 0.0000
H: 0.0000 0.6651 0.3349
H: 0.0000 0.3349 0.6651
H: 0.5000 0.0166 0.3045
H: 0.5000 0.9834 0.6955
H: 0.5000 0.3045 0.0166
H: 0.5000 0.6955 0.9834
H: 0.5000 0.5000 0.5000
Pd: 0.5000 0.6772 0.3228
Pd: 0.5000 0.3228 0.6772